The following is a DFT calculation (GGA+U) of Li4V5O9F after structural relaxation.

Cell: 10.0017 3.0014 13.1011 Å, 90.00 100.97 90.00°
Space group Cm (No. 8)
Inequivalent atoms, fractional coordinates:
Li: 0.0000 0.0000 0.0000 x2
Li: 0.0915 0.5000 0.2024 x2
Li: 0.3146 0.5000 0.5952 x2
Li: 0.4072 0.0000 0.8020 x2
V: 0.0244 0.5000 0.5086 x2
V: 0.1136 0.0000 0.7081 x2
V: 0.2052 0.5000 0.9061 x2
V: 0.2968 0.0000 0.1047 x2
V: 0.3747 0.5000 0.3041 x2
O: 0.0666 0.0000 0.8553 x2
O: 0.1584 0.5000 0.0538 x2
O: 0.1588 0.0000 0.5630 x2
O: 0.2489 0.0000 0.2508 x2
O: 0.2517 0.5000 0.7609 x2
O: 0.3442 0.0000 0.9592 x2
O: 0.3962 0.5000 0.4564 x2
O: 0.4328 0.5000 0.1616 x2
O: 0.4766 0.0000 0.6551 x2
F: 0.0309 0.5000 0.3427 x2

Density   3.83 g cm⁻³
E_tot   -6.95 eV/atom
ΔE to the lowest computed polymorph   0.000 eV per atom